Record 1
This record from Alexandria describes ReSb2Os after structural relaxation. The functional is PBE.

The space group is F-43m (No. 216) and the conventional cell measures 6.699, 6.699 and 6.699 Å, with angles of 90.00, 90.00 and 90.00 degrees. The distinct sites, in fractional coordinates, are Re at (0.000, 0.000, 0.000), Sb at (0.000, 0.000, 0.500), Sb at (0.250, 0.250, 0.750) and Os at (0.250, 0.250, 0.250).

Its crystal system is cubic. The relative energy among the computed polymorphs is 826 meV/atom. The total energy is -6.866 eV per atom.

Record 2
This record from Alexandria describes EuDyAlAg after structural relaxation. The functional is PBE.

The space group is F-43m (No. 216) and the conventional cell measures 7.430, 7.430 and 7.430 Å, with angles of 90.00, 90.00 and 90.00 degrees. The distinct sites, in fractional coordinates, are Eu at (0.000, 0.000, 0.000), Dy at (0.000, 0.000, 0.500), Al at (0.250, 0.250, 0.250) and Ag at (0.250, 0.250, 0.750).

Its crystal system is cubic. The total energy is -5.627 eV per atom.